RbNpB2O6: optimized geometry, PBE-GGA.

Summary:
**Uncorrected formation energy**: -2.5336 eV per atom
**Fermi-level density of states**: 0.689 states/eV/atom

Unit cell a=6.6870 b=6.6870 c=7.2924 alpha=101.81 beta=101.81 gamma=95.73
Each line ends with the local moment (μB).
Element x y z (fractional)
O 0.7674 0.4181 0.5545  -0.05
O 0.5819 0.2326 0.9455  -0.05
O 0.0088 0.6852 0.7882  -0.04
O 0.6982 0.6486 0.2479  -0.04
O 0.3018 0.3514 0.7521  -0.04
O 0.2326 0.5819 0.4455  -0.05
O 0.4181 0.7674 0.0545  -0.05
O 0.9912 0.3148 0.2118  -0.04
O 0.6486 0.6982 0.7479  -0.04
O 0.3148 0.9912 0.7118  -0.04
O 0.3514 0.3018 0.2521  -0.04
O 0.6852 0.0088 0.2882  -0.04
Np 0.6742 0.3258 0.2500  2.24
Np 0.3258 0.6742 0.7500  2.24
B 0.6004 0.8078 0.1964  0.00
B 0.8078 0.6004 0.6964  0.00
B 0.3996 0.1922 0.8036  0.00
B 0.1922 0.3996 0.3036  0.00
Rb 0.8948 0.1052 0.7500  0.00
Rb 0.1052 0.8948 0.2500  0.00